10
Lattice="5.542 0.000 0.000 2.747 5.806 0.000 2.714 0.736 5.842" Properties=species:S:1:pos:R:3 comment="LiPm2GePd6 (PBE-GGA, optimized geometry)" mass_density_g_cm3=8.9 vol_a3_per_cell=187.96 dos_ef_per_ev_cell=4.9 ef_mev_per_atom=-604 pbc="T T T"
Li 0.000 0.000 0.000
Pm 5.501 4.574 1.461
Pm 5.502 1.968 4.380
Ge 2.731 3.271 2.921
Pd 4.107 4.573 4.664
Pd 2.734 0.852 3.422
Pd 4.134 1.954 1.188
Pd 6.869 4.588 4.654
Pd 8.269 5.690 2.420
Pd 6.897 1.969 1.178

9
Lattice="4.169 0.000 0.000 0.000 4.169 0.000 0.000 0.000 9.364" Properties=species:S:1:pos:R:3 comment="LiPmGe2Pd5 (PBE-GGA, optimized geometry)" mass_density_g_cm3=8.5 vol_a3_per_cell=162.78 dos_ef_per_ev_cell=3.3 ef_mev_per_atom=-621 pbc="T T T"
Li 0.000 0.000 0.000
Pm 0.000 0.000 4.682
Ge 2.085 2.085 1.221
Ge 2.085 2.085 8.143
Pd 0.000 2.085 2.531
Pd 0.000 2.085 6.832
Pd 2.085 0.000 2.531
Pd 2.085 0.000 6.832
Pd 2.085 2.085 4.682

4
Lattice="0.000 3.321 3.321 3.321 0.000 3.321 3.321 3.321 0.000" Properties=species:S:1:pos:R:3 comment="LiPmGePd (PBE-GGA, optimized geometry)" mass_density_g_cm3=7.5 vol_a3_per_cell=73.26 ef_mev_per_atom=-689 pbc="T T T"
Li 0.000 0.000 0.000
Pm 1.661 1.661 1.661
Ge 4.982 4.982 4.982
Pd 3.321 3.321 3.321

8
Lattice="2.149 1.241 8.513 -2.149 1.241 8.513 0.000 -2.482 8.513" Properties=species:S:1:pos:R:3 comment="LiPmGe2Pd4 (PBE-GGA, optimized geometry)" mass_density_g_cm3=8.8 vol_a3_per_cell=136.22 dos_ef_per_ev_cell=5.9 ef_mev_per_atom=-675 pbc="T T T"
Li 0.000 0.000 0.000
Pm 0.000 0.000 12.769
Ge 0.000 0.000 6.688
Ge 0.000 0.000 18.851
Pd 0.000 0.000 2.470
Pd 0.000 0.000 9.351
Pd 0.000 0.000 16.188
Pd 0.000 0.000 23.069